No. 1
Material: SrMgZn4
Method: DFT, GGA-PBE
State: optimized geometry

Output
* V: 23.66 A^3/atom
* N(E_F): 3.168 states/eV/f.u.
* DFT formation energy: -30.5 meV/atom
* magnetic moment: 0.00 Bohr magnetons per cell
* mass density: 4370 kg/m3

Cell lengths 9.035, 9.035, 9.035 Å; angles 109.65, 109.38, 109.38 degrees
Positions (direct):
1 Zn 0.171 0.884 0.287
2 Zn 0.000 0.480 0.863
3 Zn 0.403 0.116 0.287
4 Mg 0.213 0.713 0.500
5 Sr 0.500 0.750 0.250
6 Sr 0.500 0.250 0.750
7 Zn 0.383 0.863 0.863
8 Zn 0.171 0.287 0.884
9 Zn 0.597 0.884 0.713
10 Zn 0.000 0.863 0.480
11 Zn 0.000 0.520 0.137
12 Sr 0.000 0.181 0.181
13 Mg 0.787 0.287 0.500
14 Zn 0.403 0.287 0.116
15 Zn 0.829 0.713 0.116
16 Mg 0.213 0.500 0.713
17 Zn 0.383 0.520 0.520
18 Sr 0.000 0.819 0.819
19 Zn 0.597 0.713 0.884
20 Mg 0.787 0.500 0.287
21 Zn 0.617 0.137 0.137
22 Zn 0.617 0.480 0.480
23 Zn 0.000 0.137 0.520
24 Zn 0.829 0.116 0.713

---

No. 2
Material: LiAsOs2
Method: DFT, GGA-PBE
State: optimized geometry

Output
* V: 14.22 A^3/atom
* N(E_F): 2.926 states/eV/f.u.
* DFT formation energy: 200.6 meV/atom
* magnetic moment: 0.00 Bohr magnetons per cell
* mass density: 13501 kg/m3

Cell lengths 2.822, 3.923, 5.135 Å; angles 90.00, 90.00, 90.00 degrees
Positions (direct):
1 Os 0.500 0.500 0.228
2 Os 0.000 0.000 0.017
3 As 0.000 0.000 0.517
4 Li 0.500 0.500 0.738